Entry 1:
A plane-wave DFT calculation with PBE was carried out for a geometry-optimized BaTiTl2Cl8 structure.

a b c (Å): 6.702 7.191 8.703
angles (deg): 89.78 89.85 88.36
Space group P-1 (No. 2)
Asymmetric unit:
Ba (0.000, 0.000, 0.000) (multiplicity 1)
Ti (0.000, 0.000, 0.500) (multiplicity 1)
Tl (0.500, 0.499, 0.265) (multiplicity 2)
Cl (0.119, 0.206, 0.304) (multiplicity 2)
Cl (0.123, 0.204, 0.694) (multiplicity 2)
Cl (0.301, 0.838, 0.498) (multiplicity 2)
Cl (0.363, 0.736, 0.000) (multiplicity 2)

Calculated values
**M_tot**: 0.00 μB/atom
**Formation energy without anion corrections**: -1.59 eV/atom

Entry 2:
A plane-wave DFT calculation with PBE was carried out for a geometry-optimized BaTlCl2 structure.

a b c (Å): 3.824 3.824 10.277
angles (deg): 90.00 90.00 90.00
Space group P4/mmm (No. 123)
Asymmetric unit:
Ba (0.000, 0.000, 0.000) (multiplicity 1)
Tl (0.000, 0.000, 0.500) (multiplicity 1)
Cl (0.500, 0.500, 0.166) (multiplicity 2)

Calculated values
**Excess energy over the best structure of this formula in the dataset**: 51 meV/atom
**M_tot**: 0.00 μB/atom
**Formation energy without anion corrections**: -1.53 eV/atom

Entry 3:
A plane-wave DFT calculation with PBE was carried out for a geometry-optimized Ba2TlCl structure.

a b c (Å): 3.870 6.155 6.168
angles (deg): 90.00 90.00 90.00
Space group Pmmm (No. 47)
Asymmetric unit:
Ba (0.000, 0.000, 0.000) (multiplicity 1)
Ba (0.000, 0.500, 0.500) (multiplicity 1)
Tl (0.500, 0.000, 0.500) (multiplicity 1)
Cl (0.500, 0.500, 0.000) (multiplicity 1)

Calculated values
**Excess energy over the best structure of this formula in the dataset**: 103 meV/atom
**M_tot**: 0.00 μB/atom
**Formation energy without anion corrections**: -1.00 eV/atom

Entry 4:
A plane-wave DFT calculation with PBE was carried out for a geometry-optimized BaTlCl2 structure.

a b c (Å): 3.881 3.821 9.602
angles (deg): 90.00 90.05 90.00
Space group P2/m (No. 10)
Asymmetric unit:
Ba (0.000, 0.000, 0.000) (multiplicity 1)
Tl (0.500, 0.000, 0.500) (multiplicity 1)
Cl (0.500, 0.500, 0.176) (multiplicity 2)

Calculated values
**Excess energy over the best structure of this formula in the dataset**: 24 meV/atom
**M_tot**: 0.00 μB/atom
**Formation energy without anion corrections**: -1.56 eV/atom

Entry 5:
A plane-wave DFT calculation with PBE was carried out for a geometry-optimized BaTlCl structure.

a b c (Å): 5.2555 5.2555 5.2085
angles (deg): 90.00 90.00 120.00
Space group P3m1 (No. 156)
Asymmetric unit:
Ba (0.0000, 0.0000, 0.0000) (multiplicity 1)
Tl (0.3333, 0.6667, 0.4994) (multiplicity 1)
Cl (0.6667, 0.3333, 0.0032) (multiplicity 1)

Calculated values
**Excess energy over the best structure of this formula in the dataset**: 115 meV/atom
**M_tot**: 0.00 μB/atom
**Formation energy without anion corrections**: -0.96 eV/atom

Entry 6:
A plane-wave DFT calculation with PBE was carried out for a geometry-optimized Ba2TlCl structure.

a b c (Å): 4.817 7.125 9.626
angles (deg): 90.00 90.00 90.00
Space group Immm (No. 71)
Asymmetric unit:
Ba (0.000, 0.000, 0.216) (multiplicity 4)
Tl (0.000, 0.500, 0.000) (multiplicity 2)
Cl (0.000, 0.500, 0.500) (multiplicity 2)

Calculated values
**Excess energy over the best structure of this formula in the dataset**: 193 meV/atom
**M_tot**: 0.09 μB/atom
**Formation energy without anion corrections**: -0.91 eV/atom

Number 2 is which compound? BaTlCl2